This record from Alexandria describes crystalline RbSmTe2O8 at its relaxed geometry. The functional is PBE-GGA.

```
RbSmTe2O8
1.0
6.080 0.000 0.000
-3.040 5.265 0.000
0.000 0.000 8.180
Rb Sm Te O
1 1 2 8
direct
0.000 0.000 0.000 Rb
0.000 0.000 0.500 Sm
0.333 0.667 0.757 Te
0.667 0.333 0.243 Te
0.148 0.340 0.677 O
0.192 0.852 0.677 O
0.333 0.667 0.980 O
0.340 0.192 0.323 O
0.660 0.808 0.677 O
0.667 0.333 0.020 O
0.808 0.148 0.323 O
0.852 0.660 0.323 O
```

Summary:
Formation energy from raw total energies ... -1.56 eV per atom
DFT total energy ... -70.4 eV for the cell shown